1.
# Ho2IrPb PBE-GGA optimized geometry
# total moment: 0.004 μB per formula unit
# E_tot: -6.11 eV per atom
# calculated volume: 96.57 Å³ per cell
data_Ho2IrPb
_chemical_formula_sum 'Ho2 Ir1 Pb1'
_cell_length_a 3.445
_cell_length_b 3.445
_cell_length_c 8.136
_cell_angle_alpha 90.00
_cell_angle_beta 90.00
_cell_angle_gamma 90.00
_symmetry_space_group_name_H-M 'P 4/m m m'
_symmetry_Int_Tables_number 123
_symmetry_space_group_name_Hall '-P 4 2'
loop_
_atom_site_label
_atom_site_fract_x
_atom_site_fract_y
_atom_site_fract_z
Ho1 0.000 0.000 0.204
Ir1 0.500 0.500 0.000
Pb1 0.500 0.500 0.500

2.
# Ho4Ir2Pb5 PBE-GGA optimized geometry
# total moment: 0.005 μB per formula unit
# E_tot: -5.50 eV per atom
# calculated volume: 286.21 Å³ per cell
data_Ho4Ir2Pb5
_chemical_formula_sum 'Ho4 Ir2 Pb5'
_cell_length_a 8.061
_cell_length_b 3.611
_cell_length_c 9.853
_cell_angle_alpha 90.00
_cell_angle_beta 93.80
_cell_angle_gamma 90.00
_symmetry_space_group_name_H-M 'P 1 2/m 1'
_symmetry_Int_Tables_number 10
loop_
_symmetry_equiv_pos_as_xyz
'x,y,z'
'-x,-y,-z'
'-x,y,-z'
'x,-y,z'
loop_
_atom_site_label
_atom_site_fract_x
_atom_site_fract_y
_atom_site_fract_z
Ho1 0.197 0.000 0.339
Ho2 0.199 0.000 0.932
Ir1 0.084 0.500 0.135
Pb1 0.143 0.500 0.635
Pb2 0.460 0.500 0.163
Pb3 0.500 0.500 0.500

3.
# TbHo2IrPd2Pb3 PBE-GGA optimized geometry
# total moment: 0.013 μB per formula unit
# E_tot: -5.57 eV per atom
# calculated volume: 408.04 Å³ per cell
data_TbHo2IrPd2Pb3
_chemical_formula_sum 'Tb2 Ho4 Ir2 Pd4 Pb6'
_cell_length_a 3.874
_cell_length_b 13.514
_cell_length_c 7.794
_cell_angle_alpha 90.00
_cell_angle_beta 90.00
_cell_angle_gamma 90.00
_symmetry_space_group_name_H-M 'A m m 2'
_symmetry_Int_Tables_number 38
loop_
_symmetry_equiv_pos_as_xyz
'x,y,z'
'-x,-y,z'
'-x,y,z'
'x,-y,z'
'x,y+1/2,z+1/2'
'-x,-y+1/2,z+1/2'
'-x,y+1/2,z+1/2'
'x,-y+1/2,z+1/2'
loop_
_atom_site_label
_atom_site_fract_x
_atom_site_fract_y
_atom_site_fract_z
Tb1 0.000 0.000 0.000
Ho1 0.000 0.198 0.595
Ir1 0.000 0.000 0.398
Pd1 0.500 0.168 0.896
Pb1 0.500 0.000 0.663
Pb2 0.500 0.133 0.264

4.
# Y2HoIrPd2Pb3 PBE-GGA optimized geometry
# total moment: 0.008 μB per formula unit
# E_tot: -5.99 eV per atom
# calculated volume: 408.51 Å³ per cell
data_Y2HoIrPd2Pb3
_chemical_formula_sum 'Y4 Ho2 Ir2 Pd4 Pb6'
_cell_length_a 3.868
_cell_length_b 13.513
_cell_length_c 7.815
_cell_angle_alpha 90.00
_cell_angle_beta 90.00
_cell_angle_gamma 90.00
_symmetry_space_group_name_H-M 'A m m 2'
_symmetry_Int_Tables_number 38
loop_
_symmetry_equiv_pos_as_xyz
'x,y,z'
'-x,-y,z'
'-x,y,z'
'x,-y,z'
'x,y+1/2,z+1/2'
'-x,-y+1/2,z+1/2'
'-x,y+1/2,z+1/2'
'x,-y+1/2,z+1/2'
loop_
_atom_site_label
_atom_site_fract_x
_atom_site_fract_y
_atom_site_fract_z
Y1 0.000 0.198 0.000
Ho1 0.000 0.000 0.406
Ir1 0.000 0.000 0.800
Pd1 0.500 0.165 0.303
Pb1 0.500 0.000 0.067
Pb2 0.500 0.133 0.669

5.
# HoIrPd PBE-GGA optimized geometry
# total moment: 0.008 μB per formula unit
# E_tot: -6.45 eV per atom
# energy of formation from the pure elements: -0.246 eV/atom
# calculated volume: 259.88 Å³ per cell
data_HoIrPd
_chemical_formula_sum 'Ho4 Ir4 Pd4'
_cell_length_a 6.381
_cell_length_b 6.381
_cell_length_c 6.381
_cell_angle_alpha 90.00
_cell_angle_beta 90.00
_cell_angle_gamma 90.00
_symmetry_space_group_name_H-M 'F -4 3 m'
_symmetry_Int_Tables_number 216
_symmetry_space_group_name_Hall 'F -4 2 3'
loop_
_atom_site_label
_atom_site_fract_x
_atom_site_fract_y
_atom_site_fract_z
Ho1 0.000 0.000 0.000
Ir1 0.250 0.250 0.250
Pd1 0.000 0.000 0.500

6.
# HoIrPd PBE-GGA optimized geometry
# total moment: 0.000 μB per formula unit
# E_tot: -6.24 eV per atom
# energy of formation from the pure elements: -0.037 eV/atom
# calculated volume: 256.92 Å³ per cell
data_HoIrPd
_chemical_formula_sum 'Ho4 Ir4 Pd4'
_cell_length_a 6.357
_cell_length_b 6.357
_cell_length_c 6.357
_cell_angle_alpha 90.00
_cell_angle_beta 90.00
_cell_angle_gamma 90.00
_symmetry_space_group_name_H-M 'F -4 3 m'
_symmetry_Int_Tables_number 216
_symmetry_space_group_name_Hall 'F -4 2 3'
loop_
_atom_site_label
_atom_site_fract_x
_atom_site_fract_y
_atom_site_fract_z
Ho1 0.000 0.000 0.000
Ir1 0.250 0.250 0.750
Pd1 0.250 0.250 0.250

7.
# Ho3Sn3Ir2Pd PBE-GGA optimized geometry
# total moment: 0.003 μB per formula unit
# E_tot: -6.27 eV per atom
# calculated volume: 191.30 Å³ per cell
data_Ho3Sn3Ir2Pd
_chemical_formula_sum 'Ho3 Sn3 Ir2 Pd1'
_cell_length_a 7.6053
_cell_length_b 7.6053
_cell_length_c 3.8191
_cell_angle_alpha 90.00
_cell_angle_beta 90.00
_cell_angle_gamma 120.00
_symmetry_space_group_name_H-M 'P -6 2 m'
_symmetry_Int_Tables_number 189
_symmetry_space_group_name_Hall 'P -6 -2'
loop_
_atom_site_label
_atom_site_fract_x
_atom_site_fract_y
_atom_site_fract_z
Ho1 0.0000 0.4067 0.0000
Sn1 0.0000 0.7327 0.5000
Ir1 0.3333 0.6667 0.5000
Pd1 0.0000 0.0000 0.0000

8.
# HoTm2Sn3Ir2Pd PBE-GGA optimized geometry
# total moment: 0.002 μB per formula unit
# E_tot: -6.25 eV per atom
# calculated volume: 378.54 Å³ per cell
data_HoTm2Sn3Ir2Pd
_chemical_formula_sum 'Ho2 Tm4 Sn6 Ir4 Pd2'
_cell_length_a 3.791
_cell_length_b 13.164
_cell_length_c 7.586
_cell_angle_alpha 90.00
_cell_angle_beta 90.00
_cell_angle_gamma 90.00
_symmetry_space_group_name_H-M 'A m m 2'
_symmetry_Int_Tables_number 38
loop_
_symmetry_equiv_pos_as_xyz
'x,y,z'
'-x,-y,z'
'-x,y,z'
'x,-y,z'
'x,y+1/2,z+1/2'
'-x,-y+1/2,z+1/2'
'-x,y+1/2,z+1/2'
'x,-y+1/2,z+1/2'
loop_
_atom_site_label
_atom_site_fract_x
_atom_site_fract_y
_atom_site_fract_z
Ho1 0.000 0.000 0.000
Tm1 0.000 0.203 0.608
Sn1 0.500 0.000 0.674
Sn2 0.500 0.134 0.271
Ir1 0.500 0.168 0.905
Pd1 0.000 0.000 0.406

9.
# Y2HoSn3IrPd2 PBE-GGA optimized geometry
# total moment: 0.006 μB per formula unit
# E_tot: -6.34 eV per atom
# calculated volume: 389.78 Å³ per cell
data_Y2HoSn3IrPd2
_chemical_formula_sum 'Y4 Ho2 Sn6 Ir2 Pd4'
_cell_length_a 3.841
_cell_length_b 13.250
_cell_length_c 7.659
_cell_angle_alpha 90.00
_cell_angle_beta 90.00
_cell_angle_gamma 90.00
_symmetry_space_group_name_H-M 'A m m 2'
_symmetry_Int_Tables_number 38
loop_
_symmetry_equiv_pos_as_xyz
'x,y,z'
'-x,-y,z'
'-x,y,z'
'x,-y,z'
'x,y+1/2,z+1/2'
'-x,-y+1/2,z+1/2'
'-x,y+1/2,z+1/2'
'x,-y+1/2,z+1/2'
loop_
_atom_site_label
_atom_site_fract_x
_atom_site_fract_y
_atom_site_fract_z
Y1 0.000 0.200 0.000
Ho1 0.000 0.000 0.402
Sn1 0.500 0.000 0.061
Sn2 0.500 0.131 0.670
Ir1 0.000 0.000 0.799
Pd1 0.500 0.165 0.301

10.
# Y2HoSn3Ir2Pd PBE-GGA optimized geometry
# total moment: 0.003 μB per formula unit
# E_tot: -6.69 eV per atom
# calculated volume: 385.50 Å³ per cell
data_Y2HoSn3Ir2Pd
_chemical_formula_sum 'Y4 Ho2 Sn6 Ir4 Pd2'
_cell_length_a 3.841
_cell_length_b 13.172
_cell_length_c 7.619
_cell_angle_alpha 90.00
_cell_angle_beta 90.00
_cell_angle_gamma 90.00
_symmetry_space_group_name_H-M 'A m m 2'
_symmetry_Int_Tables_number 38
loop_
_symmetry_equiv_pos_as_xyz
'x,y,z'
'-x,-y,z'
'-x,y,z'
'x,-y,z'
'x,y+1/2,z+1/2'
'-x,-y+1/2,z+1/2'
'-x,y+1/2,z+1/2'
'x,-y+1/2,z+1/2'
loop_
_atom_site_label
_atom_site_fract_x
_atom_site_fract_y
_atom_site_fract_z
Y1 0.000 0.203 0.000
Ho1 0.000 0.000 0.389
Sn1 0.500 0.000 0.062
Sn2 0.500 0.134 0.663
Ir1 0.500 0.165 0.298
Pd1 0.000 0.000 0.795

11.
# Pr2HoZn3Ir2Pt PBE-GGA optimized geometry
# total moment: 0.005 μB per formula unit
# E_tot: -5.35 eV per atom
# energy of formation from the pure elements: -0.713 eV/atom
# calculated volume: 367.22 Å³ per cell
data_Pr2HoZn3Ir2Pt
_chemical_formula_sum 'Pr4 Ho2 Zn6 Ir4 Pt2'
_cell_length_a 3.987
_cell_length_b 12.592
_cell_length_c 7.315
_cell_angle_alpha 90.00
_cell_angle_beta 90.00
_cell_angle_gamma 90.00
_symmetry_space_group_name_H-M 'A m m 2'
_symmetry_Int_Tables_number 38
loop_
_symmetry_equiv_pos_as_xyz
'x,y,z'
'-x,-y,z'
'-x,y,z'
'x,-y,z'
'x,y+1/2,z+1/2'
'-x,-y+1/2,z+1/2'
'-x,y+1/2,z+1/2'
'x,-y+1/2,z+1/2'
loop_
_atom_site_label
_atom_site_fract_x
_atom_site_fract_y
_atom_site_fract_z
Pr1 0.000 0.207 0.000
Ho1 0.000 0.000 0.613
Zn1 0.500 0.000 0.957
Zn2 0.500 0.121 0.334
Ir1 0.500 0.159 0.704
Pt1 0.000 0.000 0.214